A geometry-optimized Re3Ni2Sn3 structure. Source: the Open Quantum Materials Database, functional PBE-GGA.

a = 5.5285 Å, b = 4.5069 Å, c = 5.6341 Å
α = 90.00°, β = 111.43°, γ = 90.00°
Fractional coordinates of all 8 atoms:
Ni  0.6533  0.5000  0.3382
Ni  0.3386  0.0000  0.6684
Re  0.9040  0.0000  0.1067
Re  0.3477  0.0000  0.1279
Re  0.1547  0.5000  0.8925
Sn  0.1734  0.5000  0.3984
Sn  0.8138  0.0000  0.5793
Sn  0.6370  0.5000  0.8813


A geometry-optimized Re3Ni2Sn3 structure. Source: the Open Quantum Materials Database, functional PBE-GGA.

a = 4.6244 Å, b = 5.5826 Å, c = 5.5826 Å
α = 65.18°, β = 90.00°, γ = 90.00°
Each line ends with the local moment (μB).
Fractional coordinates of all 8 atoms:
Ni  0.5000  0.3282  0.3282  0.01
Ni  0.0000  0.6660  0.6660  0.07
Re  0.0000  0.7015  0.1269  0.09
Re  0.0000  0.1269  0.7015  0.14
Re  0.5000  0.8312  0.8312  0.04
Sn  0.0000  0.1887  0.1887  0.02
Sn  0.5000  0.8119  0.3457  0.01
Sn  0.5000  0.3457  0.8119  0.00


A geometry-optimized Re3Ni2Sn3 structure. Source: the Open Quantum Materials Database, functional PBE-GGA.

a = 5.9330 Å, b = 5.9330 Å, c = 4.3177 Å
α = 90.00°, β = 90.00°, γ = 120.00°
Fractional coordinates of all 8 atoms:
Ni  0.0000  0.0000  0.0000
Ni  0.6667  0.3333  0.5000
Re  0.5208  0.0416  0.0000
Re  0.5208  0.4792  0.0000
Re  0.9584  0.4792  0.0000
Sn  0.1659  0.3319  0.5000
Sn  0.1659  0.8341  0.5000
Sn  0.6681  0.8341  0.5000


The records above yield volume values of 130.7 130.8 131.6 Å³/cell, respectively.
The records above yield energy values of -7.22 -7.18 -7.16 eV per atom, respectively.
The records above yield mass density values of 13.1 13.1 13.0 g cm⁻³, respectively.